Material: TlInPb2
Method: DFT, GGA-PBE
State: optimized geometry

## Properties
DOS at the Fermi energy = 5.06 states/eV per cell
calculated formation energy = 133 meV per atom
electronic total energy = -35.97 eV per cell
energy relative to the lowest polymorph listed for this composition = 0.132 eV/atom

Lattice parameters (Å, degrees): 4.5055 4.5055 23.2334 90.00 90.00 120.00
Closest atoms and distances in Å follow each position.
Space group R3m (No. 160, hexagonal axes)
Asymmetric unit:
Tl  0.0000  0.0000  0.0000 (multiplicity 3)  6 Pb 3.38-3.40
In  0.0000  0.0000  0.8341 (multiplicity 3)  6 Pb 3.11
Pb  0.0000  0.0000  0.4276 (multiplicity 3)  3 In 3.11, 1 Pb 3.40, 3 Tl 3.40
Pb  0.0000  0.0000  0.5739 (multiplicity 3)  3 In 3.11, 3 Tl 3.38, 1 Pb 3.40

=====

Material: TlIn2Pb
Method: DFT, GGA-PBE
State: optimized geometry

## Properties
DOS at the Fermi energy = 3.70 states/eV per cell
calculated formation energy = 12 meV per atom
electronic total energy = -34.51 eV per cell
energy relative to the lowest polymorph listed for this composition = 0.016 eV/atom

Lattice parameters (Å, degrees): 3.4174 3.4174 34.7461 90.00 90.00 120.00
Closest atoms and distances in Å follow each position.
Space group R-3m (No. 166, hexagonal axes)
Asymmetric unit:
Tl  0.0000  0.0000  0.0000 (multiplicity 3)  6 Tl 3.42, 6 In 3.42
In  0.0000  0.0000  0.2528 (multiplicity 6)  6 In 3.42, 3 Tl 3.42, 3 Pb 3.58
Pb  0.0000  0.0000  0.5000 (multiplicity 3)  6 Pb 3.42, 6 In 3.58